[1]
This record from Alexandria via LeMat-Bulk describes crystalline Ce2Co2Ir at its relaxed geometry. The functional is GGA-PBE.

Cell: 6.9481 6.9481 7.3211 Å, 90.00 90.00 90.00°
With the nearest neighbours (Å) after each atom.
Fractional positions:
Ce 0.6917 0.8082 0.5000  2 Co 2.58
Ce 0.3083 0.1918 0.5000  2 Co 2.58
Ce 0.8083 0.3082 0.0000  2 Co 2.58
Ce 0.1917 0.6918 0.0000  2 Co 2.58
Ce 0.8082 0.3083 0.5000  2 Co 2.58
Ce 0.1918 0.6917 0.5000  2 Co 2.58
Ce 0.3082 0.1917 0.0000  2 Co 2.58
Ce 0.6918 0.8083 0.0000  2 Co 2.58
Co 0.3765 0.8765 0.2500  1 Co 2.43, 2 Ce 2.58
Co 0.6235 0.1235 0.2500  1 Co 2.43, 2 Ce 2.58
Co 0.1235 0.3765 0.7500  1 Co 2.43, 2 Ce 2.58
Co 0.8765 0.6235 0.7500  1 Co 2.43, 2 Ce 2.58
Co 0.8765 0.6235 0.2500  1 Co 2.43, 2 Ce 2.58
Co 0.1235 0.3765 0.2500  1 Co 2.43, 2 Ce 2.58
Co 0.3765 0.8765 0.7500  1 Co 2.43, 2 Ce 2.58
Co 0.6235 0.1235 0.7500  1 Co 2.43, 2 Ce 2.58
Ir 0.5000 0.5000 0.2497  4 Co 2.75
Ir 0.0000 0.0000 0.7497  4 Co 2.75
Ir 0.5000 0.5000 0.7503  4 Co 2.75
Ir 0.0000 0.0000 0.2503  4 Co 2.75

## Properties
- DFT total energy: -36.82 eV per formula unit
- Theoretical density: 11.09 Mg/m³



[2]
This record from Alexandria via LeMat-Bulk describes crystalline Ce6Co2Ir at its relaxed geometry. The functional is GGA-PBE.

Cell: 6.3493 6.9360 9.7807 Å, 90.00 92.72 90.00°
With the nearest neighbours (Å) after each atom.
Fractional positions:
Ce 0.8262 0.9108 0.2360  1 Co 2.43
Ce 0.8264 0.6447 0.5590  1 Ir 2.77, 2 Co 2.88-2.97
Ce 0.8508 0.6838 0.9177  2 Co 2.67-2.95, 1 Ir 2.72
Ce 0.6492 0.1838 0.5823  2 Co 2.67-2.95, 1 Ir 2.72
Ce 0.6736 0.1447 0.9410  1 Ir 2.77, 2 Co 2.88-2.97
Ce 0.6738 0.4108 0.2640  1 Co 2.43
Ce 0.1738 0.0892 0.7640  1 Co 2.43
Ce 0.1736 0.3553 0.4410  1 Ir 2.77, 2 Co 2.88-2.97
Ce 0.1492 0.3162 0.0823  2 Co 2.67-2.95, 1 Ir 2.72
Ce 0.3508 0.8162 0.4177  2 Co 2.67-2.95, 1 Ir 2.72
Ce 0.3264 0.8553 0.0590  1 Ir 2.77, 2 Co 2.88-2.97
Ce 0.3262 0.5892 0.7360  1 Co 2.43
Co 0.9566 0.3764 0.7720  2 Ce 2.43-2.67
Co 0.5434 0.8764 0.7280  2 Ce 2.43-2.67
Co 0.4566 0.1236 0.2720  2 Ce 2.43-2.67
Co 0.0434 0.6236 0.2280  2 Ce 2.43-2.67
Ir 0.5000 0.5000 0.0000  6 Ce 2.72-2.83
Ir 0.0000 0.0000 0.5000  6 Ce 2.72-2.83

## Properties
- DFT total energy: -60.51 eV per formula unit
- Theoretical density: 8.88 Mg/m³